# PBE K2CuMo, relaxed
data_K2CuMo
_chemical_formula_sum 'K4 Cu2 Mo2'
_symmetry_space_group_name_H-M 'P 1'
_symmetry_Int_Tables_number 1
_cell_length_a 11.942
_cell_length_b 11.942
_cell_length_c 8.820
_cell_angle_alpha 47.39
_cell_angle_beta 47.39
_cell_angle_gamma 90.00
loop_
_symmetry_equiv_pos_as_xyz
'x,y,z'
loop_
_atom_site_label
_atom_site_type_symbol
_atom_site_fract_x
_atom_site_fract_y
_atom_site_fract_z
Mo1 Mo 0.000 0.000 0.000
Mo2 Mo 0.750 0.250 0.500
K1 K 0.466 0.125 0.250
K2 K 0.284 0.625 0.250
K3 K 0.375 0.534 0.750
K4 K 0.875 0.716 0.750
Cu1 Cu 0.500 0.500 0.000
Cu2 Cu 0.250 0.750 0.500
# Calculated formation energy in eV per formula unit: 4.941
# Volume in Å³ per cell: 363.0
# DOS at the Fermi energy in states/eV per cell: 3.4
# Polymorph energy (0 for the lowest one) in kJ/mol of atoms: 35.6
# Magnetization in μB per cell: 9.72

# PBE CdSb2H2, relaxed
data_CdSb2H2
_chemical_formula_sum 'Cd1 Sb2 H2'
_symmetry_space_group_name_H-M 'P 1'
_symmetry_Int_Tables_number 1
_cell_length_a 3.523
_cell_length_b 3.523
_cell_length_c 7.406
_cell_angle_alpha 76.24
_cell_angle_beta 76.24
_cell_angle_gamma 90.00
loop_
_symmetry_equiv_pos_as_xyz
'x,y,z'
loop_
_atom_site_label
_atom_site_type_symbol
_atom_site_fract_x
_atom_site_fract_y
_atom_site_fract_z
Sb1 Sb 0.355 0.355 0.289
Sb2 Sb 0.645 0.645 0.711
H1 H 0.750 0.250 0.500
H2 H 0.250 0.750 0.500
Cd1 Cd 0.000 0.000 0.000
# Volume in Å³ per cell: 86.6
# DOS at the Fermi energy in states/eV per cell: 1.7
# Polymorph energy (0 for the lowest one) in kJ/mol of atoms: 18.8
# Magnetization in μB per cell: 0.00

# PBE Cs2CuBrF3, relaxed
data_Cs2CuBrF3
_chemical_formula_sum 'Cs2 Cu1 Br1 F3'
_symmetry_space_group_name_H-M 'P 1'
_symmetry_Int_Tables_number 1
_cell_length_a 5.009
_cell_length_b 4.587
_cell_length_c 8.119
_cell_angle_alpha 106.41
_cell_angle_beta 107.97
_cell_angle_gamma 90.00
loop_
_symmetry_equiv_pos_as_xyz
'x,y,z'
loop_
_atom_site_label
_atom_site_type_symbol
_atom_site_fract_x
_atom_site_fract_y
_atom_site_fract_z
Cs1 Cs 0.662 0.662 0.324
Cs2 Cs 0.338 0.338 0.676
Cu1 Cu 0.000 0.000 0.000
Br1 Br 0.500 0.000 0.000
F1 F 0.000 0.500 0.000
F2 F 0.135 0.135 0.270
F3 F 0.865 0.865 0.730
# Volume in Å³ per cell: 169.4
# E_form (uncorrected) in kJ/mol of atoms: -179
# DOS at the Fermi energy in states/eV per cell: 1.4
# Magnetization in μB per cell: 0.92

# PBE Rb3U2FeSe6, relaxed
data_Rb3U2FeSe6
_chemical_formula_sum 'Rb3 U2 Fe1 Se6'
_symmetry_space_group_name_H-M 'P 1'
_symmetry_Int_Tables_number 1
_cell_length_a 7.194
_cell_length_b 7.194
_cell_length_c 8.360
_cell_angle_alpha 98.29
_cell_angle_beta 98.29
_cell_angle_gamma 119.68
loop_
_symmetry_equiv_pos_as_xyz
'x,y,z'
loop_
_atom_site_label
_atom_site_type_symbol
_atom_site_fract_x
_atom_site_fract_y
_atom_site_fract_z
Rb1 Rb 0.167 0.833 0.500
Rb2 Rb 0.833 0.167 0.500
Rb3 Rb 0.500 0.500 0.500
U1 U 0.333 0.667 0.000
U2 U 0.667 0.333 0.000
Fe1 Fe 0.000 0.000 0.000
Se1 Se 0.936 0.614 0.810
Se2 Se 0.739 0.739 0.192
Se3 Se 0.064 0.386 0.190
Se4 Se 0.614 0.936 0.810
Se5 Se 0.261 0.261 0.808
Se6 Se 0.386 0.064 0.190
# Volume in Å³ per cell: 360.1
# E_form (uncorrected) in kJ/mol of atoms: -95
# DOS at the Fermi energy in states/eV per cell: 19.2
# Magnetization in μB per cell: 8.30

# PBE RbHfTe2O8, relaxed
data_RbHfTe2O8
_chemical_formula_sum 'Rb1 Hf1 Te2 O8'
_symmetry_space_group_name_H-M 'P 1'
_symmetry_Int_Tables_number 1
_cell_length_a 5.748
_cell_length_b 5.748
_cell_length_c 8.514
_cell_angle_alpha 90.00
_cell_angle_beta 90.00
_cell_angle_gamma 120.00
loop_
_symmetry_equiv_pos_as_xyz
'x,y,z'
loop_
_atom_site_label
_atom_site_type_symbol
_atom_site_fract_x
_atom_site_fract_y
_atom_site_fract_z
Rb1 Rb 0.000 0.000 0.000
Hf1 Hf 0.000 0.000 0.500
Te1 Te 0.667 0.333 0.285
Te2 Te 0.333 0.667 0.715
O1 O 0.333 0.667 0.929
O2 O 0.317 0.249 0.354
O3 O 0.751 0.068 0.354
O4 O 0.667 0.333 0.071
O5 O 0.249 0.932 0.646
O6 O 0.683 0.751 0.646
O7 O 0.068 0.317 0.646
O8 O 0.932 0.683 0.354
# Volume in Å³ per cell: 243.7
# E_form (uncorrected) in kJ/mol of atoms: -151
# DOS at the Fermi energy in states/eV per cell: 5.2
# Magnetization in μB per cell: 0.00

# PBE YInOs2, relaxed
data_YInOs2
_chemical_formula_sum 'Y1 In1 Os2'
_symmetry_space_group_name_H-M 'P 1'
_symmetry_Int_Tables_number 1
_cell_length_a 3.933
_cell_length_b 4.325
_cell_length_c 4.325
_cell_angle_alpha 90.00
_cell_angle_beta 90.00
_cell_angle_gamma 90.00
loop_
_symmetry_equiv_pos_as_xyz
'x,y,z'
loop_
_atom_site_label
_atom_site_type_symbol
_atom_site_fract_x
_atom_site_fract_y
_atom_site_fract_z
In1 In 0.500 0.000 0.500
Os1 Os 0.000 0.000 0.000
Os2 Os 0.000 0.500 0.500
Y1 Y 0.500 0.500 0.000
# Calculated formation energy in eV per formula unit: 1.101
# Volume in Å³ per cell: 73.6
# DOS at the Fermi energy in states/eV per cell: 5.3
# Magnetization in μB per cell: 0.81